[1]
This record from Alexandria via LeMat-Bulk describes a geometry-optimized ScPaZnAu structure. The functional is PBE.

It has space group F-43m (No. 216), with a = 7.0160 Å, b = 7.0160 Å, c = 7.0160 Å, α = 90.00°, β = 90.00° and γ = 90.00°. Symmetry generates all atoms from Sc at (0.0000, 0.0000, 0.0000), Pa at (0.0000, 0.0000, 0.5000), Zn at (0.2500, 0.2500, 0.7500) and Au at (0.2500, 0.2500, 0.2500).

As for the energy relative to the elements: -0.210 eV per atom.

[2]
This record from Alexandria via LeMat-Bulk describes a geometry-optimized Pa6AuSe5 structure. The functional is PBE.

It has space group C2/m (No. 12), with a = 7.0849 Å, b = 12.2772 Å, c = 7.1298 Å, α = 90.00°, β = 109.25° and γ = 90.00°. Symmetry generates all atoms from Pa at (0.2475, 0.0000, 0.2493), Pa at (0.2483, 0.1683, 0.7486), Au at (0.0000, 0.5000, 0.0000), Se at (0.0000, 0.0000, 0.5000), Se at (0.0000, 0.1670, 0.0000) and Se at (0.0000, 0.3360, 0.5000).

The value obtained for the energy relative to the elements, uncorrected is -1003 meV per atom.

[3]
This record from Alexandria via LeMat-Bulk describes a geometry-optimized PaAuSe structure. The functional is PBE.

It has space group I4mm (No. 107), with a = 3.7083 Å, b = 3.7083 Å, c = 9.6819 Å, α = 90.00°, β = 90.00° and γ = 90.00°. Symmetry generates all atoms from Pa at (0.0000, 0.0000, 0.0000), Au at (0.0000, 0.0000, 0.6690) and Se at (0.0000, 0.0000, 0.3439).

The value obtained for the energy relative to the elements, uncorrected is -663 meV per atom. The calculation puts the excess energy over the best structure of this formula in the dataset at 0.60 eV/f.u.

[4]
This record from Alexandria via LeMat-Bulk describes a geometry-optimized PaAuSe2 structure. The functional is PBE.

It has space group R-3m (No. 166, hexagonal axes), with a = 3.9635 Å, b = 3.9635 Å, c = 25.3162 Å, α = 90.00°, β = 90.00° and γ = 120.00°. Symmetry generates all atoms from Pa at (0.0000, 0.0000, 0.0000), Au at (0.0000, 0.0000, 0.5000) and Se at (0.0000, 0.0000, 0.4021).

The value obtained for the energy relative to the elements, uncorrected is -702 meV per atom.